The following is a PBE calculation of a relaxed PuBi2Sb crystal, from Alexandria via LeMat-Bulk.

The value obtained for the electronic total energy is -78.0 eV per cell. Its crystal system is trigonal. Its energy above the most stable polymorph in this dataset is 316.7 meV/atom.

The space group is R-3m (No. 166, hexagonal axes) and the conventional cell measures 3.4547, 3.4547 and 35.8787 Å, with angles of 90.00, 90.00 and 120.00 degrees. Symmetry generates all atoms from Pu at (0.0000, 0.0000, 0.0000), Bi at (0.0000, 0.0000, 0.4102) and Sb at (0.0000, 0.0000, 0.5000).